(1)
# Pm3HgO6

A relaxed Pm3HgO6 crystal (PBE, Alexandria via LeMat-Bulk).

The structure in CIF format:
```
data_Pm3HgO6
_cell_length_a 9.337
_cell_length_b 11.548
_cell_length_c 5.792
_cell_angle_alpha 90.00
_cell_angle_beta 90.00
_cell_angle_gamma 90.00
_symmetry_space_group_name_H-M 'C m c 21'
_symmetry_Int_Tables_number 36
loop_
_symmetry_equiv_pos_as_xyz
'x,y,z'
'-x,-y,z+1/2'
'-x,y,z'
'x,-y,z+1/2'
'x+1/2,y+1/2,z'
'-x+1/2,-y+1/2,z+1/2'
'-x+1/2,y+1/2,z'
'x+1/2,-y+1/2,z+1/2'
loop_
_atom_site_label
_atom_site_fract_x
_atom_site_fract_y
_atom_site_fract_z
Pm1 0.000 0.101 0.000
Pm2 0.203 0.386 0.057
Hg1 0.000 0.345 0.558
O1 0.000 0.280 0.215
O2 0.000 0.478 0.834
O3 0.159 0.016 0.279
O4 0.161 0.238 0.783
```


(2)
# PmHgO2

A relaxed PmHgO2 crystal (PBE, Alexandria via LeMat-Bulk).

The structure in CIF format:
```
data_PmHgO2
_cell_length_a 6.504
_cell_length_b 3.686
_cell_length_c 6.877
_cell_angle_alpha 90.00
_cell_angle_beta 107.47
_cell_angle_gamma 90.00
_symmetry_space_group_name_H-M 'P 1 21/m 1'
_symmetry_Int_Tables_number 11
loop_
_symmetry_equiv_pos_as_xyz
'x,y,z'
'-x,-y,-z'
'-x,y+1/2,-z'
'x,-y+1/2,z'
loop_
_atom_site_label
_atom_site_fract_x
_atom_site_fract_y
_atom_site_fract_z
Pm1 0.249 0.250 0.006
Hg1 0.331 0.750 0.502
O1 0.120 0.750 0.167
O2 0.354 0.750 0.844
```


(3)
# Pm4Hg2O

A relaxed Pm4Hg2O crystal (PBE, Alexandria via LeMat-Bulk).

The structure in CIF format:
```
data_Pm4Hg2O
_cell_length_a 6.777
_cell_length_b 7.137
_cell_length_c 8.557
_cell_angle_alpha 90.00
_cell_angle_beta 106.76
_cell_angle_gamma 90.00
_symmetry_space_group_name_H-M 'P 1 21/m 1'
_symmetry_Int_Tables_number 11
loop_
_symmetry_equiv_pos_as_xyz
'x,y,z'
'-x,-y,-z'
'-x,y+1/2,-z'
'x,-y+1/2,z'
loop_
_atom_site_label
_atom_site_fract_x
_atom_site_fract_y
_atom_site_fract_z
Pm1 0.022 0.004 0.273
Pm2 0.376 0.750 0.063
Pm3 0.429 0.750 0.633
Hg1 0.207 0.250 0.028
Hg2 0.281 0.250 0.596
O1 0.210 0.750 0.793
```


(4)
# Pm4Hg2O

A relaxed Pm4Hg2O crystal (PBE, Alexandria via LeMat-Bulk).

The structure in CIF format:
```
data_Pm4Hg2O
_cell_length_a 4.896
_cell_length_b 4.896
_cell_length_c 15.484
_cell_angle_alpha 90.00
_cell_angle_beta 90.00
_cell_angle_gamma 90.00
_symmetry_space_group_name_H-M 'I 4/m m m'
_symmetry_Int_Tables_number 139
_symmetry_space_group_name_Hall '-I 4 2'
loop_
_atom_site_label
_atom_site_fract_x
_atom_site_fract_y
_atom_site_fract_z
Pm1 0.000 0.000 0.177
Pm2 0.000 0.500 0.000
Hg1 0.000 0.000 0.370
O1 0.000 0.000 0.000
```


(5)
# PmHgO

A relaxed PmHgO crystal (PBE, Alexandria via LeMat-Bulk).

The structure in CIF format:
```
data_PmHgO
_cell_length_a 4.027
_cell_length_b 4.027
_cell_length_c 8.011
_cell_angle_alpha 90.00
_cell_angle_beta 90.00
_cell_angle_gamma 90.00
_symmetry_space_group_name_H-M 'P 4/n m m'
_symmetry_Int_Tables_number 129
loop_
_symmetry_equiv_pos_as_xyz
'x,y,z'
'-x,-y,-z'
'-y+1/2,x,z'
'y+1/2,-x,-z'
'-x+1/2,-y+1/2,z'
'x+1/2,y+1/2,-z'
'y,-x+1/2,z'
'-y,x+1/2,-z'
'x+1/2,-y,-z'
'-x+1/2,y,z'
'-y,-x,-z'
'y,x,z'
'-x,y+1/2,-z'
'x,-y+1/2,z'
'y+1/2,x+1/2,-z'
'-y+1/2,-x+1/2,z'
loop_
_atom_site_label
_atom_site_fract_x
_atom_site_fract_y
_atom_site_fract_z
Pm1 0.250 0.250 0.143
Hg1 0.250 0.250 0.591
O1 0.250 0.750 0.000
```


(6)
# PmHgO2

A relaxed PmHgO2 crystal (PBE, Alexandria via LeMat-Bulk).

The structure in CIF format:
```
data_PmHgO2
_cell_length_a 3.6489
_cell_length_b 3.6489
_cell_length_c 20.6560
_cell_angle_alpha 90.00
_cell_angle_beta 90.00
_cell_angle_gamma 120.00
_symmetry_space_group_name_H-M 'R -3 m'
_symmetry_Int_Tables_number 166
_symmetry_space_group_name_Hall '-R 3 2"'
loop_
_atom_site_label
_atom_site_fract_x
_atom_site_fract_y
_atom_site_fract_z
Pm1 0.0000 0.0000 0.0000
Hg1 0.0000 0.0000 0.5000
O1 0.0000 0.0000 0.3866
```


(7)
# Pm2HgO4

A relaxed Pm2HgO4 crystal (PBE, Alexandria via LeMat-Bulk).

The structure in CIF format:
```
data_Pm2HgO4
_cell_length_a 13.943
_cell_length_b 3.799
_cell_length_c 10.304
_cell_angle_alpha 90.00
_cell_angle_beta 121.31
_cell_angle_gamma 90.00
_symmetry_space_group_name_H-M 'C 1 2/m 1'
_symmetry_Int_Tables_number 12
loop_
_symmetry_equiv_pos_as_xyz
'x,y,z'
'-x,-y,-z'
'-x,y,-z'
'x,-y,z'
'x+1/2,y+1/2,z'
'-x+1/2,-y+1/2,-z'
'-x+1/2,y+1/2,-z'
'x+1/2,-y+1/2,z'
loop_
_atom_site_label
_atom_site_fract_x
_atom_site_fract_y
_atom_site_fract_z
Pm1 0.120 0.000 0.460
Pm2 0.159 0.500 0.799
Hg1 0.115 0.500 0.161
O1 0.036 0.500 0.280
O2 0.081 0.000 0.654
O3 0.204 0.500 0.057
O4 0.229 0.500 0.611
```


(8)
# PmHgO

A relaxed PmHgO crystal (PBE, Alexandria via LeMat-Bulk).

The structure in CIF format:
```
data_PmHgO
_cell_length_a 3.8984
_cell_length_b 3.8984
_cell_length_c 5.4595
_cell_angle_alpha 90.00
_cell_angle_beta 90.00
_cell_angle_gamma 120.00
_symmetry_space_group_name_H-M 'P -6 m 2'
_symmetry_Int_Tables_number 187
_symmetry_space_group_name_Hall 'P -6 2'
loop_
_atom_site_label
_atom_site_fract_x
_atom_site_fract_y
_atom_site_fract_z
Pm1 0.0000 0.0000 0.0000
Hg1 0.3333 0.6667 0.5000
O1 0.6667 0.3333 0.0000
```


(9)
# Pm5Hg2O

A relaxed Pm5Hg2O crystal (PBE, Alexandria via LeMat-Bulk).

The structure in CIF format:
```
data_Pm5Hg2O
_cell_length_a 8.929
_cell_length_b 6.849
_cell_length_c 14.121
_cell_angle_alpha 90.00
_cell_angle_beta 90.00
_cell_angle_gamma 90.00
_symmetry_space_group_name_H-M 'P n m a'
_symmetry_Int_Tables_number 62
loop_
_symmetry_equiv_pos_as_xyz
'x,y,z'
'-x,-y,-z'
'-x+1/2,-y,z+1/2'
'x+1/2,y,-z+1/2'
'x+1/2,-y+1/2,-z+1/2'
'-x+1/2,y+1/2,z+1/2'
'-x,y+1/2,-z'
'x,-y+1/2,z'
loop_
_atom_site_label
_atom_site_fract_x
_atom_site_fract_y
_atom_site_fract_z
Pm1 0.000 0.000 0.000
Pm2 0.060 0.250 0.211
Pm3 0.134 0.000 0.602
Pm4 0.232 0.750 0.376
Hg1 0.062 0.750 0.191
Hg2 0.212 0.250 0.410
O1 0.187 0.250 0.048
```


(10)
# Pm3Hg5O12

A relaxed Pm3Hg5O12 crystal (PBE, Alexandria via LeMat-Bulk).

The structure in CIF format:
```
data_Pm3Hg5O12
_cell_length_a 13.541
_cell_length_b 13.541
_cell_length_c 13.541
_cell_angle_alpha 90.00
_cell_angle_beta 90.00
_cell_angle_gamma 90.00
_symmetry_space_group_name_H-M 'I a -3 d'
_symmetry_Int_Tables_number 230
_symmetry_space_group_name_Hall '-I 4bd 2c 3'
loop_
_atom_site_label
_atom_site_fract_x
_atom_site_fract_y
_atom_site_fract_z
Pm1 0.000 0.250 0.125
Hg1 0.000 0.000 0.000
Hg2 0.000 0.250 0.375
O1 0.013 0.067 0.652
```


(11)
# Pm3HgO

A relaxed Pm3HgO crystal (PBE, Alexandria via LeMat-Bulk).

The structure in CIF format:
```
data_Pm3HgO
_cell_length_a 4.920
_cell_length_b 4.920
_cell_length_c 4.920
_cell_angle_alpha 90.00
_cell_angle_beta 90.00
_cell_angle_gamma 90.00
_symmetry_space_group_name_H-M 'P m -3 m'
_symmetry_Int_Tables_number 221
_symmetry_space_group_name_Hall '-P 4 2 3'
loop_
_atom_site_label
_atom_site_fract_x
_atom_site_fract_y
_atom_site_fract_z
Pm1 0.000 0.000 0.500
Hg1 0.500 0.500 0.500
O1 0.000 0.000 0.000
```


(12)
# Pm2HgO2

A relaxed Pm2HgO2 crystal (PBE, Alexandria via LeMat-Bulk).

The structure in CIF format:
```
data_Pm2HgO2
_cell_length_a 4.111
_cell_length_b 4.111
_cell_length_c 12.329
_cell_angle_alpha 90.00
_cell_angle_beta 90.00
_cell_angle_gamma 90.00
_symmetry_space_group_name_H-M 'I 4/m m m'
_symmetry_Int_Tables_number 139
_symmetry_space_group_name_Hall '-I 4 2'
loop_
_atom_site_label
_atom_site_fract_x
_atom_site_fract_y
_atom_site_fract_z
Pm1 0.000 0.000 0.160
Hg1 0.000 0.000 0.500
O1 0.000 0.500 0.250
```


Number 1: total DFT energy (no corrections) -6.98 eV/atom, formation energy from raw total energies -2458 kJ/mol of formula units, V 624.48 Å³ per cell. Number 2: total DFT energy (no corrections) -5.80 eV/atom, formation energy from raw total energies -795 kJ/mol of formula units, V 157.27 Å³ per cell. Number 3: total DFT energy (no corrections) -4.54 eV/atom, formation energy from raw total energies -699 kJ/mol of formula units, V 396.31 Å³ per cell. Number 4: total DFT energy (no corrections) -4.56 eV/atom, formation energy from raw total energies -711 kJ/mol of formula units, V 371.20 Å³ per cell. Number 5: total DFT energy (no corrections) -5.42 eV/atom, formation energy from raw total energies -603 kJ/mol of formula units, V 129.94 Å³ per cell. Number 6: total DFT energy (no corrections) -5.75 eV/atom, formation energy from raw total energies -774 kJ/mol of formula units, V 238.17 Å³ per cell. Number 7: total DFT energy (no corrections) -6.80 eV/atom, formation energy from raw total energies -1732 kJ/mol of formula units, V 466.38 Å³ per cell. Number 8: total DFT energy (no corrections) -5.11 eV/atom, formation energy from raw total energies -513 kJ/mol of formula units, V 71.86 Å³ per cell. Number 9: total DFT energy (no corrections) -4.53 eV/atom, formation energy from raw total energies -669 kJ/mol of formula units, V 863.55 Å³ per cell. Number 10: total DFT energy (no corrections) -4.97 eV/atom, formation energy from raw total energies -2329 kJ/mol of formula units, V 2482.69 Å³ per cell. Number 11: total DFT energy (no corrections) -5.26 eV/atom, formation energy from raw total energies -655 kJ/mol of formula units, V 119.10 Å³ per cell. Number 12: total DFT energy (no corrections) -6.36 eV/atom, formation energy from raw total energies -1168 kJ/mol of formula units, V 208.33 Å³ per cell.